(1)
KLa2Ni after structural relaxation. Source: Alexandria, functional PBE.

Calculated values
The density of states at the Fermi level comes out at 5.9 states/eV/cell. The formation energy from the elements is 0.616 eV per atom. As for the calculated density: 5.168 Mg/m³. The value obtained for the total energy is -3.57 eV/atom. The value obtained for the distance to the lowest polymorph of the same formula is 675 meV per atom. The calculation puts the calculated volume at 30.2 Å³/atom.

Lattice parameters (Å, degrees): 6.4793 6.4793 3.5276 103.42 103.42 115.28
Closest atoms and distances in Å follow each position.
Fractional coordinates of all 4 atoms:
K 0.0000 0.0000 0.0000  4 La 3.31, 2 Ni 3.47, 2 K 3.53
La 0.0000 0.5000 0.5000  2 Ni 3.31, 2 K 3.31, 4 La 3.47-3.53
La 0.5000 0.0000 0.5000  2 Ni 3.31, 2 K 3.31, 4 La 3.47-3.53
Ni 0.5000 0.5000 0.0000  4 La 3.31, 2 K 3.47, 2 Ni 3.53

***

(2)
CaPaN2 after structural relaxation. Source: Alexandria, functional PBE.

Calculated values
The density of states at the Fermi level comes out at 3.9 states/eV/cell. As for the calculated density: 7.867 Mg/m³. The value obtained for the total energy is -8.47 eV/atom. The calculation puts the calculated volume at 15.8 Å³/atom.

Lattice parameters (Å, degrees): 3.5694 3.5694 11.4440 90.00 90.00 120.00
Closest atoms and distances in Å follow each position.
Fractional coordinates of all 8 atoms:
Ca 0.3333 0.6667 0.2500  6 N 2.67
Ca 0.6667 0.3333 0.7500  6 N 2.67
Pa 0.0000 0.0000 0.0000  6 N 2.37
Pa 0.0000 0.0000 0.5000  6 N 2.37
N 0.3333 0.6667 0.6017  3 Pa 2.37
N 0.3333 0.6667 0.8983  3 Pa 2.37
N 0.6667 0.3333 0.1017  3 Pa 2.37
N 0.6667 0.3333 0.3983  3 Pa 2.37

***

(3)
BrF after structural relaxation. Source: Alexandria, functional PBE.

Calculated values
As for the calculated density: 2.678 Mg/m³. The value obtained for the total energy is -2.13 eV/atom. The calculation puts the calculated volume at 30.7 Å³/atom.

Lattice parameters (Å, degrees): 6.8302 6.8302 6.8302 109.47 109.47 109.47
Closest atoms and distances in Å follow each position.
Fractional coordinates of all 8 atoms:
Br 0.0000 0.0000 0.4705  1 F 1.81
Br 0.0000 0.4705 0.0000  1 F 1.81
Br 0.4705 0.0000 0.0000  1 F 1.81
Br 0.5295 0.5295 0.5295  1 F 1.81
F 0.0000 0.0000 0.7358  1 Br 1.81
F 0.0000 0.7358 0.0000  1 Br 1.81
F 0.2642 0.2642 0.2642  1 Br 1.81
F 0.7358 0.0000 0.0000  1 Br 1.81

***

(4)
BaYAl2 after structural relaxation. Source: Alexandria, functional PBE.

Calculated values
The density of states at the Fermi level comes out at 3.6 states/eV/cell. The formation energy from the elements is -0.114 eV per atom. As for the calculated density: 3.677 Mg/m³. The value obtained for the total energy is -4.08 eV/atom. The value obtained for the distance to the lowest polymorph of the same formula is 116 meV per atom. The calculation puts the calculated volume at 31.6 Å³/atom.

Lattice parameters (Å, degrees): 7.0469 7.0469 7.0469 145.67 139.81 53.86
Closest atoms and distances in Å follow each position.
Fractional coordinates of all 4 atoms:
Ba 0.0000 0.0000 0.0000  8 Al 3.51-3.92, 4 Y 3.82-3.92
Y 0.2643 0.7643 0.5000  6 Al 3.06-3.20
Al 0.6159 0.6159 0.0000  2 Al 2.64
Al 0.7455 0.2455 0.5000  2 Al 2.64